(1)
HfZr2BePb at its PBEsol-relaxed geometry, computed with SCAN.

Results
E_form = 6.30 eV/f.u.

Geometry as CIF:
```
data_HfZr2BePb
_cell_length_a 5.0322
_cell_length_b 5.0322
_cell_length_c 5.3901
_cell_angle_alpha 90.00
_cell_angle_beta 90.00
_cell_angle_gamma 90.00
_symmetry_space_group_name_H-M 'P 4/m m m'
_symmetry_Int_Tables_number 123
_symmetry_space_group_name_Hall '-P 4 2'
loop_
_atom_site_label
_atom_site_fract_x
_atom_site_fract_y
_atom_site_fract_z
Hf1 0.0000 0.0000 0.0000
Zr1 0.0000 0.5000 0.0000
Be1 0.5000 0.5000 0.5000
Pb1 0.0000 0.0000 0.5000
```

---

(2)
HfBePt2 at its PBEsol-relaxed geometry, computed with SCAN.

Results
E_form = -2.04 eV/f.u.
Excess energy over the best structure of this formula in the dataset = 10.06 kcal/mol of atoms

Geometry as CIF:
```
data_HfBePt2
_cell_length_a 4.6214
_cell_length_b 4.6214
_cell_length_c 13.6963
_cell_angle_alpha 90.00
_cell_angle_beta 90.00
_cell_angle_gamma 90.00
_symmetry_space_group_name_H-M 'I -4 2 d'
_symmetry_Int_Tables_number 122
_symmetry_space_group_name_Hall 'I -4 2bw'
loop_
_atom_site_label
_atom_site_fract_x
_atom_site_fract_y
_atom_site_fract_z
Hf1 0.0000 0.0000 0.0000
Be1 0.0000 0.0000 0.5000
Pt1 0.1530 0.2500 0.6250
```